Version A
ErPaSb2 | GGA-PBE | optimized geometry

## Properties
SG: R-3m

Lattice parameters (Å, degrees): 7.592 7.592 7.592 33.31 33.31 33.31
Sites, in units of the cell vectors:
Er 0.000 0.000 0.000
Pa 0.500 0.500 0.500
Sb 0.252 0.252 0.252
Sb 0.748 0.748 0.748

=====

Version B
ErPaSb2 | GGA-PBE | optimized geometry

## Properties
SG: P4/mmm

Lattice parameters (Å, degrees): 5.255 5.255 3.797 90.00 90.00 90.00
Sites, in units of the cell vectors:
Er 0.000 0.000 0.000
Pa 0.500 0.500 0.000
Sb 0.000 0.500 0.500
Sb 0.500 0.000 0.500

=====

Least stable: version B

=====

Version A
ErPaSb2 | GGA-PBE | optimized geometry

## Properties
SG: R3m

Lattice parameters (Å, degrees): 7.873 7.873 7.873 31.59 31.59 31.59
Sites, in units of the cell vectors:
Er 0.000 0.000 0.000
Pa 0.173 0.173 0.173
Sb 0.587 0.587 0.587
Sb 0.754 0.754 0.754

=====

Version B
ErPaSb2 | GGA-PBE | optimized geometry

## Properties
SG: C2/c

Lattice parameters (Å, degrees): 9.750 9.750 7.541 104.92 104.92 126.84
Sites, in units of the cell vectors:
Er 0.063 0.937 0.750
Er 0.188 0.812 0.250
Er 0.812 0.188 0.750
Er 0.937 0.063 0.250
Pa 0.313 0.687 0.750
Pa 0.438 0.562 0.250
Pa 0.562 0.438 0.750
Pa 0.687 0.313 0.250
Sb 0.061 0.436 0.248
Sb 0.182 0.307 0.748
Sb 0.307 0.182 0.248
Sb 0.436 0.061 0.748
Sb 0.564 0.939 0.252
Sb 0.693 0.818 0.752
Sb 0.818 0.693 0.252
Sb 0.939 0.564 0.752

=====

Least stable: version A

=====

Version A
ErSc2Pa | GGA-PBE | optimized geometry

## Properties
SG: P4/mmm

Lattice parameters (Å, degrees): 4.689 4.689 4.670 90.00 90.00 90.00
Sites, in units of the cell vectors:
Er 0.000 0.000 0.000
Sc 0.000 0.500 0.500
Sc 0.500 0.000 0.500
Pa 0.500 0.500 0.000

=====

Version B
ErSc2Pa | GGA-PBE | optimized geometry

## Properties
SG: Fm-3m

Lattice parameters (Å, degrees): 5.281 5.281 5.281 60.00 60.00 60.00
Sites, in units of the cell vectors:
Er 0.000 0.000 0.000
Sc 0.250 0.250 0.250
Sc 0.750 0.750 0.750
Pa 0.500 0.500 0.500

=====

Least stable: version B